1.
# VGeNF2

A geometry-optimized VGeNF2 structure (PBE with a Hubbard U, Alexandria).

abc: 4.031 4.031 3.967
angles: 90.00 90.00 90.00
Last column: magnetic moment on the atom in μB.
Sites, in units of the cell vectors:
N 0.000 0.000 0.500  -0.25
Ge 0.500 0.500 0.500  0.05
F 0.000 0.500 0.000  0.02
F 0.500 0.000 0.000  0.02
V 0.000 0.000 0.000  1.93

Calculated values
E = -5.767 eV/atom
ΔE to the lowest computed polymorph = 0 meV/atom
SG = P4/mmm


2.
# VGeNF2

A geometry-optimized VGeNF2 structure (PBE with a Hubbard U, Alexandria).

abc: 4.129 4.129 3.835
angles: 90.00 90.00 90.00
Last column: magnetic moment on the atom in μB.
Sites, in units of the cell vectors:
N 0.000 0.000 0.500  -0.07
Ge 0.000 0.000 0.000  -0.02
F 0.000 0.500 0.000  0.02
F 0.500 0.000 0.000  0.02
V 0.500 0.500 0.500  3.04

Calculated values
E = -5.365 eV/atom
ΔE to the lowest computed polymorph = 402 meV/atom
SG = P4/mmm


3.
# GeWN2F

A geometry-optimized GeWN2F structure (PBE with a Hubbard U, Alexandria).

abc: 3.911 3.911 3.724
angles: 90.00 90.00 90.00
Last column: magnetic moment on the atom in μB.
Sites, in units of the cell vectors:
Ge 0.000 0.000 0.000  0.03
N 0.000 0.500 0.000  -0.13
N 0.500 0.000 0.000  -0.13
W 0.500 0.500 0.500  2.91
F 0.000 0.000 0.500  0.05

Calculated values
E = -5.670 eV/atom
ΔE to the lowest computed polymorph = 449 meV/atom
SG = P4/mmm


4.
# GeWN2F

A geometry-optimized GeWN2F structure (PBE with a Hubbard U, Alexandria).

abc: 4.059 4.059 4.110
angles: 90.00 90.00 90.00
Last column: magnetic moment on the atom in μB.
Sites, in units of the cell vectors:
Ge 0.500 0.500 0.500  0.05
N 0.000 0.500 0.000  -0.19
N 0.500 0.000 0.000  -0.19
W 0.000 0.000 0.000  1.26
F 0.000 0.000 0.500  0.04

Calculated values
E = -6.118 eV/atom
ΔE to the lowest computed polymorph = 0 meV/atom
SG = P4/mmm


Which value of E does entry 2 give? -5.365 eV/atom


Which of these has the highest ΔE to the lowest computed polymorph? number 3


Which formula does entry 3 have? GeWN2F